Compound: Sr2PaN
Source: Alexandria
Functional: PBE-GGA
Structure: optimized geometry

Unit cell a=3.5073 b=3.5073 c=31.2865 alpha=90.00 beta=90.00 gamma=120.00
Last column: nearest neighbours and their distance in Å.
Positions (direct):
Sr  0.0000  0.0000  0.1203  3 N 2.49
Sr  0.0000  0.0000  0.8797  3 N 2.49
Sr  0.3333  0.6667  0.5464  3 N 2.49
Sr  0.3333  0.6667  0.7869  3 N 2.49
Sr  0.6667  0.3333  0.2131  3 N 2.49
Sr  0.6667  0.3333  0.4536  3 N 2.49
Pa  0.0000  0.0000  0.0000  6 Pa 3.51, 2 Sr 3.76
Pa  0.3333  0.6667  0.6667  6 Pa 3.51, 2 Sr 3.76
Pa  0.6667  0.3333  0.3333  6 Pa 3.51, 2 Sr 3.76
N  0.0000  0.0000  0.5000  6 Sr 2.49
N  0.3333  0.6667  0.1667  6 Sr 2.49
N  0.6667  0.3333  0.8333  6 Sr 2.49

Its magnetic moment is 1.9 Bohr magnetons per cell. The calculation puts the total energy at -5.217 eV/atom. Its formation energy from raw total energies is 0.0794 eV per atom.

***

Compound: Sr3Pa2TaN6
Source: Alexandria
Functional: PBE-GGA
Structure: optimized geometry

Unit cell a=6.0412 b=6.0412 c=6.2785 alpha=99.18 beta=99.18 gamma=119.97
Last column: nearest neighbours and their distance in Å.
Positions (direct):
Sr  0.0000  0.0000  0.0000  6 N 2.70-2.77
Sr  0.3375  0.6625  0.0000  6 N 2.66-2.82
Sr  0.6625  0.3375  0.0000  6 N 2.66-2.82
Pa  0.1669  0.8331  0.5000  6 N 2.35-2.36
Pa  0.8331  0.1669  0.5000  6 N 2.35-2.36
Ta  0.5000  0.5000  0.5000  6 N 2.24-2.25
N  0.1168  0.4362  0.3081  1 Ta 2.24, 2 Pa 2.35
N  0.2439  0.2439  0.6934  1 Ta 2.25, 2 Pa 2.36
N  0.4362  0.1168  0.3081  1 Ta 2.24, 2 Pa 2.35
N  0.5638  0.8832  0.6919  1 Ta 2.24, 2 Pa 2.35
N  0.7561  0.7561  0.3066  1 Ta 2.25, 2 Pa 2.36
N  0.8832  0.5638  0.6919  1 Ta 2.24, 2 Pa 2.35

Its magnetic moment is 0.0 Bohr magnetons per cell. The calculation puts the total energy at -8.391 eV/atom. Its formation energy from raw total energies is -1.2372 eV per atom.

***

Compound: SrPa2TaN5
Source: Alexandria
Functional: PBE-GGA
Structure: optimized geometry

Unit cell a=6.7126 b=6.7126 c=6.7126 alpha=145.25 beta=127.46 gamma=64.54
Last column: nearest neighbours and their distance in Å.
Positions (direct):
Sr  0.0000  0.0000  0.0000  10 N 2.97-3.04
Pa  0.2884  0.7884  0.5000  3 N 2.25-2.40
Pa  0.7116  0.2116  0.5000  3 N 2.25-2.40
Ta  0.5000  0.5000  0.0000  6 N 2.00-2.18
N  0.1176  0.3531  0.7645  1 Ta 2.18, 1 Pa 2.25
N  0.4114  0.6469  0.7645  1 Ta 2.18, 1 Pa 2.25
N  0.5000  0.0000  0.5000  2 Ta 2.00
N  0.5886  0.3531  0.2355  1 Ta 2.18, 1 Pa 2.25
N  0.8824  0.6469  0.2355  1 Ta 2.18, 1 Pa 2.25

Its magnetic moment is 0.0 Bohr magnetons per cell. The calculation puts the total energy at -9.652 eV/atom. Its formation energy from raw total energies is -1.4124 eV per atom.

***

Compound: Sr2PaTaN4
Source: Alexandria
Functional: PBE-GGA
Structure: optimized geometry

Unit cell a=5.9141 b=3.4439 c=6.2379 alpha=90.00 beta=108.09 gamma=90.00
Last column: nearest neighbours and their distance in Å.
Positions (direct):
Sr  0.0000  0.0000  0.0000  6 N 2.73-2.76
Sr  0.5000  0.5000  0.0000  6 N 2.63-2.65
Pa  0.0000  0.5000  0.5000  6 N 2.33-2.35
Ta  0.5000  0.0000  0.5000  6 N 2.18-2.26
N  0.2509  0.0000  0.6936  1 Ta 2.18, 2 Pa 2.35
N  0.2802  0.5000  0.3081  2 Ta 2.26, 1 Pa 2.33
N  0.7198  0.5000  0.6919  2 Ta 2.26, 1 Pa 2.33
N  0.7491  0.0000  0.3064  1 Ta 2.18, 2 Pa 2.35

Its magnetic moment is 0.0 Bohr magnetons per cell. The calculation puts the total energy at -8.423 eV/atom. Its formation energy from raw total energies is -1.1714 eV per atom.

***

Compound: Sr3Pa3TaN8
Source: Alexandria
Functional: PBE-GGA
Structure: optimized geometry

Unit cell a=7.2464 b=7.2464 c=7.2464 alpha=57.48 beta=57.48 gamma=57.48
Last column: nearest neighbours and their distance in Å.
Positions (direct):
Sr  0.0000  0.5000  0.5000  6 N 2.67-2.76
Sr  0.5000  0.0000  0.5000  6 N 2.67-2.76
Sr  0.5000  0.5000  0.0000  6 N 2.67-2.76
Pa  0.0000  0.0000  0.5000  6 N 2.33-2.37
Pa  0.0000  0.5000  0.0000  6 N 2.33-2.37
Pa  0.5000  0.0000  0.0000  6 N 2.33-2.37
Ta  0.5000  0.5000  0.5000  6 N 2.18
N  0.2360  0.2360  0.2360  3 Pa 2.37
N  0.2440  0.7170  0.7170  1 Ta 2.18, 2 Pa 2.33
N  0.2830  0.2830  0.7560  1 Ta 2.18, 2 Pa 2.33
N  0.2830  0.7560  0.2830  1 Ta 2.18, 2 Pa 2.33
N  0.7170  0.2440  0.7170  1 Ta 2.18, 2 Pa 2.33
N  0.7170  0.7170  0.2440  1 Ta 2.18, 2 Pa 2.33
N  0.7560  0.2830  0.2830  1 Ta 2.18, 2 Pa 2.33
N  0.7640  0.7640  0.7640  3 Pa 2.37

Its magnetic moment is 0.0 Bohr magnetons per cell. The calculation puts the total energy at -8.763 eV/atom. Its formation energy from raw total energies is -1.2971 eV per atom.

***

Compound: Sr3TbPa2N6
Source: Alexandria
Functional: PBE-GGA
Structure: optimized geometry

Unit cell a=6.2371 b=6.2371 c=6.3654 alpha=99.40 beta=99.40 gamma=119.98
Last column: nearest neighbours and their distance in Å.
Positions (direct):
Sr  0.0000  0.0000  0.0000  6 N 2.68-2.80
Sr  0.3357  0.6643  0.0000  6 N 2.69-2.80
Sr  0.6643  0.3357  0.0000  6 N 2.69-2.80
Tb  0.5000  0.5000  0.5000  6 N 2.49
Pa  0.1669  0.8331  0.5000  6 N 2.36
Pa  0.8331  0.1669  0.5000  6 N 2.36
N  0.0830  0.4334  0.3001  2 Pa 2.36, 1 Tb 2.49
N  0.2162  0.2162  0.6996  2 Pa 2.36, 1 Tb 2.49
N  0.4334  0.0830  0.3001  2 Pa 2.36, 1 Tb 2.49
N  0.5666  0.9170  0.6999  2 Pa 2.36, 1 Tb 2.49
N  0.7838  0.7838  0.3004  2 Pa 2.36, 1 Tb 2.49
N  0.9170  0.5666  0.6999  2 Pa 2.36, 1 Tb 2.49

Its magnetic moment is 0.0 Bohr magnetons per cell. The calculation puts the total energy at -7.935 eV/atom. Its formation energy from raw total energies is -1.3836 eV per atom.

***

Compound: Sr4Pa3TcN8
Source: Alexandria
Functional: PBE-GGA
Structure: optimized geometry

Unit cell a=7.2190 b=7.2190 c=7.2190 alpha=58.37 beta=58.37 gamma=58.37
Last column: nearest neighbours and their distance in Å.
Positions (direct):
Sr  0.0000  0.0000  0.0000  6 N 2.64
Sr  0.0000  0.5000  0.5000  6 N 2.70-2.73
Sr  0.5000  0.0000  0.5000  6 N 2.70-2.73
Sr  0.5000  0.5000  0.0000  6 N 2.70-2.73
Pa  0.0000  0.0000  0.5000  6 N 2.33-2.36
Pa  0.0000  0.5000  0.0000  6 N 2.33-2.36
Pa  0.5000  0.0000  0.0000  6 N 2.33-2.36
Tc  0.5000  0.5000  0.5000  6 N 2.43
N  0.2214  0.7404  0.7404  2 Pa 2.33, 1 Tc 2.43
N  0.2337  0.2337  0.2337  3 Pa 2.36
N  0.2596  0.2596  0.7786  2 Pa 2.33, 1 Tc 2.43
N  0.2596  0.7786  0.2596  2 Pa 2.33, 1 Tc 2.43
N  0.7404  0.2214  0.7404  2 Pa 2.33, 1 Tc 2.43
N  0.7404  0.7404  0.2214  2 Pa 2.33, 1 Tc 2.43
N  0.7663  0.7663  0.7663  3 Pa 2.36
N  0.7786  0.2596  0.2596  2 Pa 2.33, 1 Tc 2.43

Its magnetic moment is 0.0 Bohr magnetons per cell. The calculation puts the total energy at -8.124 eV/atom. Its formation energy from raw total energies is -1.1123 eV per atom.

***

Compound: SrPaTcN4
Source: Alexandria
Functional: PBE-GGA
Structure: optimized geometry

Unit cell a=6.0455 b=5.6405 c=7.0498 alpha=90.00 beta=107.53 gamma=90.00
Last column: nearest neighbours and their distance in Å.
Positions (direct):
Sr  0.2146  0.2500  0.4371  2 N 2.57-2.62
Sr  0.7854  0.7500  0.5629  2 N 2.57-2.62
Pa  0.2985  0.2500  0.9620  6 N 2.27-2.49
Pa  0.7015  0.7500  0.0380  6 N 2.27-2.49
Tc  0.2458  0.7500  0.1773  4 N 1.82-1.96
Tc  0.7542  0.2500  0.8227  4 N 1.82-1.96
N  0.0335  0.7500  0.9306  1 Tc 1.82
N  0.0544  0.7500  0.3336  1 Tc 1.82
N  0.4888  0.5109  0.2001  1 Tc 1.96
N  0.4888  0.9891  0.2001  1 Tc 1.96
N  0.5112  0.0109  0.7999  1 Tc 1.96
N  0.5112  0.4891  0.7999  1 Tc 1.96
N  0.9456  0.2500  0.6664  1 Tc 1.82
N  0.9665  0.2500  0.0694  1 Tc 1.82

Its magnetic moment is 0.0 Bohr magnetons per cell. The calculation puts the total energy at -8.603 eV/atom. Its formation energy from raw total energies is -0.7683 eV per atom.

***

Compound: SrPa2TcN4
Source: Alexandria
Functional: PBE-GGA
Structure: optimized geometry

Unit cell a=6.3085 b=6.3085 c=11.7992 alpha=90.00 beta=90.00 gamma=148.39
Last column: nearest neighbours and their distance in Å.
Positions (direct):
Sr  0.1035  0.8965  0.7500  6 N 2.61-2.89
Sr  0.8965  0.1035  0.2500  6 N 2.61-2.89
Pa  0.3681  0.6319  0.5530  6 N 2.26-2.49
Pa  0.3681  0.6319  0.9470  6 N 2.26-2.49
Pa  0.6319  0.3681  0.0530  6 N 2.26-2.49
Pa  0.6319  0.3681  0.4470  6 N 2.26-2.49
Tc  0.1597  0.8403  0.2500  4 N 2.12
Tc  0.8403  0.1597  0.7500  4 N 2.12
N  0.0000  0.0000  0.0000  4 Pa 2.43
N  0.0000  0.0000  0.5000  4 Pa 2.43
N  0.2649  0.7351  0.1069  1 Tc 2.12, 1 Pa 2.26
N  0.2649  0.7351  0.3931  1 Tc 2.12, 1 Pa 2.26
N  0.4422  0.5578  0.7500  2 Tc 2.12
N  0.5578  0.4422  0.2500  2 Tc 2.12
N  0.7351  0.2649  0.6069  1 Tc 2.12, 1 Pa 2.26
N  0.7351  0.2649  0.8931  1 Tc 2.12, 1 Pa 2.26

Its magnetic moment is 0.0 Bohr magnetons per cell. The calculation puts the total energy at -9.163 eV/atom. Its formation energy from raw total energies is -1.1202 eV per atom.

***

Compound: Sr2PaTc2N6
Source: Alexandria
Functional: PBE-GGA
Structure: optimized geometry

Unit cell a=6.9125 b=6.9125 c=6.9125 alpha=50.80 beta=50.80 gamma=50.80
Last column: nearest neighbours and their distance in Å.
Positions (direct):
Sr  0.2088  0.2088  0.2088  9 N 2.76-3.04
Sr  0.7912  0.7912  0.7912  9 N 2.76-3.04
Pa  0.0000  0.0000  0.0000  6 N 2.29
Tc  0.3977  0.3977  0.3977  3 N 1.81
Tc  0.6023  0.6023  0.6023  3 N 1.81
N  0.2372  0.7510  0.7510  1 Tc 1.81
N  0.2490  0.2490  0.7628  1 Tc 1.81
N  0.2490  0.7628  0.2490  1 Tc 1.81
N  0.7510  0.2372  0.7510  1 Tc 1.81
N  0.7510  0.7510  0.2372  1 Tc 1.81
N  0.7628  0.2490  0.2490  1 Tc 1.81

Its magnetic moment is 0.0 Bohr magnetons per cell. The calculation puts the total energy at -8.232 eV/atom. Its formation energy from raw total energies is -0.6370 eV per atom.

***

Compound: Sr2PaTe2N2
Source: Alexandria
Functional: PBE-GGA
Structure: optimized geometry

Unit cell a=4.4461 b=4.4461 c=17.6064 alpha=90.00 beta=90.00 gamma=90.00
Last column: nearest neighbours and their distance in Å.
Positions (direct):
Sr  0.0000  0.0000  0.1119  4 N 2.97
Sr  0.0000  0.0000  0.8881  4 N 2.97
Sr  0.5000  0.5000  0.3881  4 N 2.97
Sr  0.5000  0.5000  0.6119  4 N 2.97
Pa  0.0000  0.0000  0.5000  4 N 2.22
Pa  0.5000  0.5000  0.0000  4 N 2.22
Te  0.0000  0.0000  0.3195  1 Pa 3.18, 4 Sr 3.37
Te  0.0000  0.0000  0.6805  1 Pa 3.18, 4 Sr 3.37
Te  0.5000  0.5000  0.1805  1 Pa 3.18, 4 Sr 3.37
Te  0.5000  0.5000  0.8195  1 Pa 3.18, 4 Sr 3.37
N  0.0000  0.5000  0.0000  2 Pa 2.22
N  0.0000  0.5000  0.5000  2 Pa 2.22
N  0.5000  0.0000  0.0000  2 Pa 2.22
N  0.5000  0.0000  0.5000  2 Pa 2.22

Its magnetic moment is 0.0 Bohr magnetons per cell. The calculation puts the total energy at -6.437 eV/atom. Its formation energy from raw total energies is -1.3241 eV per atom.

***

Compound: Sr2ThPaN4
Source: Alexandria
Functional: PBE-GGA
Structure: optimized geometry

Unit cell a=6.3664 b=3.6747 c=6.3904 alpha=90.00 beta=109.31 gamma=90.00
Last column: nearest neighbours and their distance in Å.
Positions (direct):
Sr  0.0000  0.0000  0.0000  6 N 2.83-2.88
Sr  0.5000  0.5000  0.0000  6 N 2.73-2.75
Th  0.0000  0.5000  0.5000  6 N 2.49-2.51
Pa  0.5000  0.0000  0.5000  6 N 2.33-2.40
N  0.2519  0.0000  0.6994  1 Pa 2.33, 2 Th 2.49
N  0.2807  0.5000  0.3019  2 Pa 2.40, 1 Th 2.51
N  0.7193  0.5000  0.6981  2 Pa 2.40, 1 Th 2.51
N  0.7481  0.0000  0.3006  1 Pa 2.33, 2 Th 2.49

Its magnetic moment is 0.0 Bohr magnetons per cell. The calculation puts the total energy at -8.041 eV/atom. Its formation energy from raw total energies is -1.3437 eV per atom.

***

Look up the magnetic moment of the sixth one.
0.0 Bohr magnetons per cell